Record 1
This record from Alexandria describes a relaxed structure of SrGa2Pd. The functional is PBE-GGA.

extended XYZ file:
```
4
Lattice="3.3733 0.0000 0.0000 0.0000 3.3733 0.0000 0.0000 0.0000 7.3040" Properties=species:S:1:pos:R:3 pbc="T T T"
Sr 0.0000 0.0000 0.0000
Ga 1.6866 1.6866 2.2914
Ga 1.6866 1.6866 5.0126
Pd 0.0000 0.0000 3.6520
```

Values from the calculation:
DFT total energy = -3.699 eV per atom
D(E_F) = 1.3 states/eV/f.u.
Space group = No. 123

---

Record 2
This record from Alexandria describes a relaxed structure of KNp6S8. The functional is PBE-GGA.

extended XYZ file:
```
15
Lattice="5.6797 3.2792 3.8096 -5.6797 3.2792 3.8096 0.0000 -6.5584 3.8096" Properties=species:S:1:pos:R:3 pbc="T T T"
K 0.0000 0.0000 0.0000
Np -1.3969 -1.4130 5.0154
Np -1.9222 0.5032 6.4135
Np -0.5253 1.9162 5.0154
Np 0.5253 -1.9162 6.4135
Np 1.9222 -0.5032 5.0154
Np 1.3968 1.4130 6.4135
S -3.6839 -0.1542 4.4345
S 0.0000 0.0000 3.2671
S -1.7084 -3.2674 6.9944
S 1.9755 -3.1133 4.4345
S -1.9755 3.1133 6.9944
S 1.7084 3.2675 4.4345
S 0.0000 0.0000 8.1618
S 3.6839 0.1542 6.9944
```

Values from the calculation:
D(E_F) = 11.6 states/eV/f.u.
Space group = No. 148
Formation energy without anion corrections = -0.981 eV/atom

---

Record 3
This record from Alexandria describes a relaxed structure of CaPmMgIr. The functional is PBE-GGA.

extended XYZ file:
```
4
Lattice="0.0000 3.6129 3.6129 3.6129 0.0000 3.6129 3.6129 3.6129 0.0000" Properties=species:S:1:pos:R:3 pbc="T T T"
Ca 0.0000 0.0000 0.0000
Pm 3.6129 3.6129 3.6129
Mg 5.4193 5.4193 5.4193
Ir 1.8064 1.8064 1.8064
```

Values from the calculation:
DFT total energy = -4.545 eV per atom
D(E_F) = 4.5 states/eV/f.u.
Space group = No. 216

---

Record 4
This record from Alexandria describes a relaxed structure of Ru2PtBr. The functional is PBE-GGA.

extended XYZ file:
```
4
Lattice="0.0000 3.1703 3.1703 3.1703 0.0000 3.1703 3.1703 3.1703 0.0000" Properties=species:S:1:pos:R:3 pbc="T T T"
Ru 1.5852 1.5852 1.5852
Ru 4.7555 4.7555 4.7555
Pt 0.0000 0.0000 0.0000
Br 3.1703 3.1703 3.1703
```

Values from the calculation:
D(E_F) = 4.9 states/eV/f.u.
Space group = No. 225
E above lowest polymorph = 425 meV per atom
Formation energy without anion corrections = 0.866 eV/atom

---

Record 5
This record from Alexandria describes a relaxed structure of TiGa2Pt. The functional is PBE-GGA.

extended XYZ file:
```
4
Lattice="0.0000 3.1441 3.1441 3.1441 0.0000 3.1441 3.1441 3.1441 0.0000" Properties=species:S:1:pos:R:3 pbc="T T T"
Ti 0.0000 0.0000 0.0000
Ga 1.5721 1.5721 1.5721
Ga 4.7162 4.7162 4.7162
Pt 3.1441 3.1441 3.1441
```

Values from the calculation:
DFT total energy = -5.447 eV per atom
D(E_F) = 5.0 states/eV/f.u.
Space group = No. 225

---

Record 6
This record from Alexandria describes a relaxed structure of Be2ReAu. The functional is PBE-GGA.

extended XYZ file:
```
4
Lattice="0.0000 2.9993 2.9993 2.9993 0.0000 2.9993 2.9993 2.9993 0.0000" Properties=species:S:1:pos:R:3 pbc="T T T"
Be 0.0000 0.0000 0.0000
Be 1.4996 1.4996 1.4996
Re 2.9993 2.9993 2.9993
Au 4.4989 4.4989 4.4989
```

Values from the calculation:
D(E_F) = 3.7 states/eV/f.u.
Space group = No. 216
E above lowest polymorph = 656 meV per atom

---

Record 7
This record from Alexandria describes a relaxed structure of Er4TmRu2. The functional is PBE-GGA.

extended XYZ file:
```
14
Lattice="7.7093 0.0000 0.0000 0.0000 6.2442 0.0000 -2.9920 0.0000 7.2319" Properties=species:S:1:pos:R:3 pbc="T T T"
Er -0.5003 1.5610 3.4652
Er 0.5882 4.6831 1.8284
Er -0.7435 3.1301 6.6185
Er -0.7435 6.2361 6.6185
Er 5.4608 0.0081 0.6134
Er 5.4608 3.1140 0.6134
Er 4.1290 1.5610 5.4035
Er 5.2176 4.6831 3.7667
Tm 2.6437 1.5610 2.4317
Tm 2.0736 4.6831 4.8002
Ru 0.2900 1.5610 0.8941
Ru 1.4175 1.5610 5.4594
Ru 3.2997 4.6831 1.7724
Ru 4.4273 4.6831 6.3378
```

Values from the calculation:
DFT total energy = -6.184 eV per atom
D(E_F) = 6.3 states/eV/f.u.
Space group = No. 11

---

Record 8
This record from Alexandria describes a relaxed structure of Zn3CrNi8. The functional is PBE-GGA.

extended XYZ file:
```
12
Lattice="-2.7247 2.7247 5.4870 2.7247 -2.7247 5.4870 2.7247 2.7247 -5.4870" Properties=species:S:1:pos:R:3 pbc="T T T"
Zn 0.0000 0.0000 0.0000
Zn 2.7247 0.0000 2.7435
Zn 0.0000 2.7247 2.7435
Cr 0.0000 0.0000 5.4870
Ni 1.4085 1.4085 -1.3267
Ni 1.3162 -1.3162 4.1602
Ni 1.4085 1.4085 1.3267
Ni 1.3162 -1.3162 6.8137
Ni -1.3162 1.3162 4.1602
Ni 1.3162 1.3162 4.1602
Ni -1.3162 1.3162 6.8137
Ni 1.3162 1.3162 6.8137
```

Values from the calculation:
DFT total energy = -4.662 eV per atom
D(E_F) = 6.6 states/eV/f.u.
Space group = No. 139

---

Record 9
This record from Alexandria describes a relaxed structure of BaSbAsBr2. The functional is PBE-GGA.

extended XYZ file:
```
5
Lattice="5.7099 0.0000 0.0000 0.0000 5.7099 0.0000 0.0000 0.0000 5.4002" Properties=species:S:1:pos:R:3 pbc="T T T"
Ba 0.0000 0.0000 0.0000
Sb 2.8550 2.8550 2.7001
As 2.8550 2.8550 0.0000
Br 0.0000 2.8550 2.7001
Br 2.8550 0.0000 2.7001
```

Values from the calculation:
D(E_F) = 1.2 states/eV/f.u.
Space group = No. 123
E above lowest polymorph = 0 meV per atom
Formation energy without anion corrections = -0.680 eV/atom

---

Record 10
This record from Alexandria describes a relaxed structure of Pt8Br. The functional is PBE-GGA.

extended XYZ file:
```
9
Lattice="-4.3106 4.3106 1.9715 4.3106 -4.3106 1.9715 4.3106 4.3106 -1.9715" Properties=species:S:1:pos:R:3 pbc="T T T"
Pt 2.9025 0.0000 0.0000
Pt 5.7187 0.0000 0.0000
Pt 2.8347 2.8347 0.0000
Pt 1.4759 -1.4759 1.9715
Pt 0.0000 2.9025 0.0000
Pt 0.0000 5.7187 0.0000
Pt -1.4759 1.4759 1.9715
Pt 1.4759 1.4759 1.9715
Br 0.0000 0.0000 0.0000
```

Values from the calculation:
D(E_F) = 14.2 states/eV/f.u.
Space group = No. 139
Formation energy without anion corrections = 0.295 eV/atom

---

Record 11
This record from Alexandria describes a relaxed structure of Y8CN3. The functional is PBE-GGA.

extended XYZ file:
```
12
Lattice="6.1367 -3.5407 0.0000 6.1367 3.5407 0.0000 -4.1033 0.0000 5.9485" Properties=species:S:1:pos:R:3 pbc="T T T"
Y 3.0575 1.7790 4.3269
Y -0.0059 0.0000 4.3074
Y 5.1126 1.7790 1.6216
Y 2.0301 0.0000 1.6217
Y 6.1399 0.0000 4.3269
Y 3.0575 -1.7790 4.3269
Y 8.1760 0.0000 1.6411
Y 5.1126 -1.7790 1.6216
C 4.0850 0.0000 2.9743
N -2.0517 0.0000 2.9743
N 1.0167 1.7703 2.9743
N 1.0167 -1.7703 2.9743
```

Values from the calculation:
D(E_F) = 10.7 states/eV/f.u.
Space group = No. 12
Formation energy without anion corrections = -0.895 eV/atom

---

Record 12
This record from Alexandria describes a relaxed structure of Li3Cu2Ge4. The functional is PBE-GGA.

extended XYZ file:
```
9
Lattice="4.7164 -2.0752 0.0000 4.7164 2.0752 0.0000 -3.4833 0.0000 7.4961" Properties=species:S:1:pos:R:3 pbc="T T T"
Li 0.0000 0.0000 0.0000
Li 1.8057 0.0000 2.8267
Li 4.1438 0.0000 4.6694
Cu 1.2487 0.0000 5.4764
Cu 4.7008 0.0000 2.0196
Ge -0.9897 0.0000 2.6926
Ge -0.7753 0.0000 6.7712
Ge 6.7248 0.0000 0.7249
Ge 6.9392 0.0000 4.8035
```

Values from the calculation:
D(E_F) = 1.8 states/eV/f.u.
Space group = No. 12
E above lowest polymorph = 0 meV per atom

---

Record 13
This record from Alexandria describes a relaxed structure of Mg2PbSe. The functional is PBE-GGA.

extended XYZ file:
```
4
Lattice="-1.7896 1.8053 7.6982 1.7896 -1.8053 7.6982 1.7896 1.8053 -7.6982" Properties=species:S:1:pos:R:3 pbc="T T T"
Mg 0.0000 0.0000 0.0000
Mg 0.0000 1.8053 3.1865
Pb 0.0000 0.0000 5.7771
Se 1.7896 0.0000 2.0813
```

Values from the calculation:
D(E_F) = 1.0 states/eV/f.u.
Space group = No. 44
E above lowest polymorph = 116 meV per atom
Formation energy without anion corrections = -0.490 eV/atom

---

Record 14
This record from Alexandria describes a relaxed structure of Sc3C. The functional is PBE-GGA.

extended XYZ file:
```
4
Lattice="2.3120 -5.2719 0.0000 2.3120 5.2719 0.0000 0.0000 0.0000 3.3087" Properties=species:S:1:pos:R:3 pbc="T T T"
Sc 0.0000 0.0000 0.0000
Sc 2.3120 1.5338 1.6544
Sc 2.3120 -1.5338 1.6544
C 2.3120 0.0000 0.0000
```

Values from the calculation:
D(E_F) = 4.7 states/eV/f.u.
Space group = No. 65
E above lowest polymorph = 23 meV per atom

---

Record 15
This record from Alexandria describes a relaxed structure of Ba3HoRu2O9. The functional is PBE-GGA.

extended XYZ file:
```
15
Lattice="5.8782 0.0000 0.0000 -2.9391 5.0907 0.0000 0.0000 0.0000 7.2326" Properties=species:S:1:pos:R:3 pbc="T T T"
Ba 0.0000 0.0000 0.0000
Ba 0.0000 3.3938 4.8911
Ba 2.9391 1.6969 2.3415
Ho 0.0000 0.0000 3.6163
Ru 0.0000 3.3938 1.1769
Ru 2.9391 1.6969 6.0556
O -1.4696 2.5453 0.0000
O 0.0000 1.7902 2.3116
O -1.3888 4.1956 2.3116
O 1.5504 0.8951 4.9209
O 2.9391 0.0000 0.0000
O 1.4696 2.5453 0.0000
O 1.3888 4.1956 2.3116
O 4.3279 0.8951 4.9209
O 2.9391 3.3005 4.9209
```

Values from the calculation:
D(E_F) = 7.1 states/eV/f.u.
Space group = No. 164
E above lowest polymorph = 19 meV per atom
Formation energy without anion corrections = -2.199 eV/atom

---

Record 16
This record from Alexandria describes a relaxed structure of HfVAs2Se. The functional is PBE-GGA.

extended XYZ file:
```
5
Lattice="4.6580 0.0000 0.0000 0.0000 4.6580 0.0000 0.0000 0.0000 4.9175" Properties=species:S:1:pos:R:3 pbc="T T T"
Hf 0.0000 0.0000 0.0000
V 2.3290 2.3290 2.4587
As 0.0000 2.3290 2.4587
As 2.3290 0.0000 2.4587
Se 2.3290 2.3290 0.0000
```

Values from the calculation:
D(E_F) = 4.1 states/eV/f.u.
Space group = No. 123
E above lowest polymorph = 0 meV per atom
Formation energy without anion corrections = 0.252 eV/atom

---

Record 17
This record from Alexandria describes a relaxed structure of SrHgCl. The functional is PBE-GGA.

extended XYZ file:
```
6
Lattice="-2.1477 2.1477 9.5265 2.1477 -2.1477 9.5265 2.1477 2.1477 -9.5265" Properties=species:S:1:pos:R:3 pbc="T T T"
Sr 0.0000 0.0000 2.7185
Sr 0.0000 0.0000 16.3345
Hg 2.1477 0.0000 0.0113
Hg 2.1477 0.0000 9.5152
Cl 0.0000 0.0000 5.7787
Cl 0.0000 0.0000 13.2743
```

Values from the calculation:
D(E_F) = 1.7 states/eV/f.u.
Space group = No. 119
E above lowest polymorph = 41 meV per atom
Formation energy without anion corrections = -1.331 eV/atom

---

Record 18
This record from Alexandria describes a relaxed structure of CdCoOs2. The functional is PBE-GGA.

extended XYZ file:
```
4
Lattice="2.7695 0.0000 0.0000 0.0000 3.7730 0.0000 0.0000 0.0000 5.7593" Properties=species:S:1:pos:R:3 pbc="T T T"
Cd 0.0000 0.0000 0.0000
Co 1.3847 1.8865 1.4720
Os 0.0000 0.0000 2.8318
Os 1.3847 1.8865 3.9759
```

Values from the calculation:
DFT total energy = -7.219 eV per atom
D(E_F) = 4.0 states/eV/f.u.
Space group = No. 25

---

Record 19
This record from Alexandria describes a relaxed structure of NdThCuRh. The functional is PBE-GGA.

extended XYZ file:
```
4
Lattice="4.0586 0.0000 0.0000 0.0000 1.9705 5.9829 0.0000 -1.9705 5.9829" Properties=species:S:1:pos:R:3 pbc="T T T"
Nd 0.0000 0.0000 0.0000
Th 2.0293 0.0000 8.7210
Cu 2.0293 0.0000 5.0756
Rh 0.0000 0.0000 3.1277
```

Values from the calculation:
D(E_F) = 3.0 states/eV/f.u.
Space group = No. 38
E above lowest polymorph = 0 meV per atom

---

Record 20
This record from Alexandria describes a relaxed structure of HfNiAu. The functional is PBE-GGA.

extended XYZ file:
```
12
Lattice="5.4131 0.0000 0.0000 1.6342 6.4038 0.0000 1.6341 1.4257 6.2431" Properties=species:S:1:pos:R:3 pbc="T T T"
Hf 1.6926 2.0828 2.9395
Hf 3.3321 5.9922 6.0526
Hf 5.3494 1.8373 0.1905
Hf 6.9889 5.7467 3.3036
Ni 2.5211 2.2374 0.5137
Ni 4.1613 6.1574 3.6274
Ni 4.5202 1.6722 2.6157
Ni 6.1604 5.5921 5.7294
Au 3.4455 1.6614 5.1558
Au 3.4526 4.1470 2.0287
Au 5.2289 3.6826 4.2144
Au 5.2360 6.1681 1.0872
```

Values from the calculation:
D(E_F) = 1.7 states/eV/f.u.
Space group = No. 2
E above lowest polymorph = 267 meV per atom

---

Record 21
This record from Alexandria describes a relaxed structure of Ho2CuAs. The functional is PBE-GGA.

extended XYZ file:
```
4
Lattice="2.0236 1.1683 6.7420 -2.0236 1.1683 6.7420 0.0000 -2.3367 6.7420" Properties=species:S:1:pos:R:3 pbc="T T T"
Ho 0.0000 0.0000 5.0224
Ho 0.0000 0.0000 15.2035
Cu 0.0000 0.0000 0.0000
As 0.0000 0.0000 10.1129
```

Values from the calculation:
DFT total energy = -5.183 eV per atom
D(E_F) = 4.2 states/eV/f.u.
Space group = No. 166

---

Record 22
This record from Alexandria describes a relaxed structure of AcHPd. The functional is PBE-GGA.

extended XYZ file:
```
3
Lattice="-2.1149 2.1149 3.7866 2.1149 -2.1149 3.7866 2.1149 2.1149 -3.7866" Properties=species:S:1:pos:R:3 pbc="T T T"
Ac 0.0000 0.0000 0.0000
H 0.0000 0.0000 2.5817
Pd 0.0000 0.0000 4.2736
```

Values from the calculation:
D(E_F) = 1.9 states/eV/f.u.
Space group = No. 107
E above lowest polymorph = 203 meV per atom

---

Record 23
This record from Alexandria describes a relaxed structure of RbNaPtRh2. The functional is PBE-GGA.

extended XYZ file:
```
5
Lattice="4.9147 0.0000 0.0000 0.0000 4.9147 0.0000 0.0000 0.0000 4.9910" Properties=species:S:1:pos:R:3 pbc="T T T"
Rb 0.0000 0.0000 0.0000
Na 2.4574 2.4574 2.4955
Pt 2.4574 2.4574 0.0000
Rh 0.0000 2.4574 2.4955
Rh 2.4574 0.0000 2.4955
```

Values from the calculation:
DFT total energy = -3.208 eV per atom
D(E_F) = 7.4 states/eV/f.u.
Space group = No. 123

---

Record 24
This record from Alexandria describes a relaxed structure of V2GeMo. The functional is PBE-GGA.

extended XYZ file:
```
4
Lattice="3.2287 0.0000 0.0000 0.0000 3.2287 0.0000 0.0000 0.0000 5.4984" Properties=species:S:1:pos:R:3 pbc="T T T"
V 0.0000 0.0000 1.3424
V 0.0000 0.0000 4.1560
Ge 1.6143 1.6143 0.0000
Mo 1.6143 1.6143 2.7492
```

Values from the calculation:
DFT total energy = -8.619 eV per atom
D(E_F) = 3.9 states/eV/f.u.
Space group = No. 123

---

Record 25
This record from Alexandria describes a relaxed structure of BiPt2Se3. The functional is PBE-GGA.

extended XYZ file:
```
12
Lattice="3.7938 2.1903 5.8028 -3.7938 2.1903 5.8028 0.0000 -4.3807 5.8028" Properties=species:S:1:pos:R:3 pbc="T T T"
Bi 0.0000 0.0000 3.9549
Bi 0.0000 0.0000 13.4536
Pt 0.0000 0.0000 0.0000
Pt -1.8969 -1.0952 5.8028
Pt -1.8969 1.0952 11.6057
Pt 0.0000 2.1903 5.8028
Se 0.0000 -2.1720 7.0680
Se -1.8810 1.0860 7.0680
Se -1.8810 -1.0860 10.3406
Se 1.8810 1.0860 7.0680
Se 1.8810 -1.0860 10.3406
Se 0.0000 2.1720 10.3406
```

Values from the calculation:
D(E_F) = 1.9 states/eV/f.u.
Space group = No. 166
Formation energy without anion corrections = -0.319 eV/atom